# 1
DFT (PBE-GGA) results for LiAlHgAu after structural relaxation.

Lattice parameters (Å, degrees): 6.5099 6.5099 6.5099 90.00 90.00 90.00
Last column: nearest neighbours and their distance in Å.
Fractional coordinates of all 16 atoms:
Li 0.0000 0.0000 0.0000  4 Au 2.82, 4 Hg 2.82
Li 0.0000 0.5000 0.5000  4 Au 2.82, 4 Hg 2.82
Li 0.5000 0.0000 0.5000  4 Au 2.82, 4 Hg 2.82
Li 0.5000 0.5000 0.0000  4 Au 2.82, 4 Hg 2.82
Al 0.0000 0.0000 0.5000  4 Hg 2.82, 4 Au 2.82
Al 0.0000 0.5000 0.0000  4 Hg 2.82, 4 Au 2.82
Al 0.5000 0.0000 0.0000  4 Hg 2.82, 4 Au 2.82
Al 0.5000 0.5000 0.5000  4 Hg 2.82, 4 Au 2.82
Hg 0.2500 0.2500 0.2500  4 Li 2.82, 4 Al 2.82
Hg 0.2500 0.7500 0.7500  4 Li 2.82, 4 Al 2.82
Hg 0.7500 0.2500 0.7500  4 Li 2.82, 4 Al 2.82
Hg 0.7500 0.7500 0.2500  4 Li 2.82, 4 Al 2.82
Au 0.2500 0.2500 0.7500  4 Li 2.82, 4 Al 2.82
Au 0.2500 0.7500 0.2500  4 Li 2.82, 4 Al 2.82
Au 0.7500 0.2500 0.2500  4 Li 2.82, 4 Al 2.82
Au 0.7500 0.7500 0.7500  4 Li 2.82, 4 Al 2.82

Summary:
- D(E_F): 6.644 states/eV/cell
- Total magnetic moment: 0.0000 μB per atom
- E_tot: -42.19 eV for the cell shown
- Energy of formation: -0.3277 eV/atom

=====

# 2
DFT (PBE-GGA) results for DySc3Tl4 after structural relaxation.

Lattice parameters (Å, degrees): 10.3819 7.2564 5.1918 90.00 90.00 90.00
Last column: nearest neighbours and their distance in Å.
Fractional coordinates of all 16 atoms:
Dy 0.0000 0.0000 0.0000  8 Tl 3.20
Dy 0.5000 0.0000 0.0000  8 Tl 3.20
Sc 0.0000 0.5000 0.0000  8 Tl 3.13
Sc 0.2500 0.0000 0.4989  8 Tl 3.20
Sc 0.2500 0.5000 0.4990  8 Tl 3.13
Sc 0.5000 0.5000 0.0000  8 Tl 3.13
Sc 0.7500 0.0000 0.5011  8 Tl 3.20
Sc 0.7500 0.5000 0.5010  8 Tl 3.13
Tl 0.0000 0.2582 0.5000  6 Sc 3.13-3.20, 2 Dy 3.20
Tl 0.0000 0.7418 0.5000  6 Sc 3.13-3.20, 2 Dy 3.20
Tl 0.2500 0.2582 0.9989  6 Sc 3.13-3.20, 2 Dy 3.20
Tl 0.2500 0.7418 0.9989  6 Sc 3.13-3.20, 2 Dy 3.20
Tl 0.5000 0.2582 0.5000  6 Sc 3.13-3.20, 2 Dy 3.20
Tl 0.5000 0.7418 0.5000  6 Sc 3.13-3.20, 2 Dy 3.20
Tl 0.7500 0.2582 0.0011  6 Sc 3.13-3.20, 2 Dy 3.20
Tl 0.7500 0.7418 0.0011  6 Sc 3.13-3.20, 2 Dy 3.20

Summary:
- D(E_F): 14.308 states/eV/cell
- Total magnetic moment: 0.0000 μB per atom
- E_tot: -70.44 eV for the cell shown
- Energy of formation: -0.2695 eV/atom